VASP calculation (PBE) on a relaxed KFe2Co crystal.

Properties
DOS(E_F) ... 4.131 states/eV/f.u.
Energy above the most stable polymorph in this dataset ... 666 meV per atom
Spin magnetization ... 6.9 μB per formula unit
E_tot ... -19.9 eV per formula unit
Energy of formation ... 1.31 eV per atom

The structure in POSCAR format:
```
KFe2Co
1.0
0.000 3.176 3.176
3.176 0.000 3.176
3.176 3.176 0.000
K Fe Co
1 2 1
direct
0.000 0.000 0.000
0.500 0.500 0.500
0.750 0.750 0.750
0.250 0.250 0.250
```